Record 1
VASP calculation (PBE) on a relaxed structure of PaReSi2Ni.

Results
Density in g/cm³: 10.89
Energy relative to the elements, uncorrected in eV per atom: -0.571
Total DFT energy (no corrections) in eV per atom: -8.285

Cell lengths 4.0329, 4.0329, 5.7448 Å; angles 110.55, 110.55, 90.00 degrees
Closest atoms and distances in Å follow each position.
Fractional positions:
Pa: 0.0000 0.0000 0.0000  8 Si 3.10, 4 Re 3.21, 4 Ni 3.21
Re: 0.2500 0.7500 0.5000  4 Si 2.39
Si: 0.6216 0.6216 0.2433  2 Re 2.39, 2 Ni 2.39, 1 Si 2.43
Si: 0.3784 0.3784 0.7567  2 Re 2.39, 2 Ni 2.39, 1 Si 2.43
Ni: 0.7500 0.2500 0.5000  4 Si 2.39

***

Record 2
VASP calculation (PBE) on a relaxed structure of LaAsW2.

Results
Formation energy in kJ/mol of formula units: 66
Density in g/cm³: 10.97
Total DFT energy (no corrections) in eV per atom: -8.701

Cell lengths 4.5502, 4.5502, 6.3060 Å; angles 80.13, 80.13, 43.33 degrees
Closest atoms and distances in Å follow each position.
Fractional positions:
As: 0.4860 0.4860 0.5764  5 W 2.70
W: 0.0165 0.0165 0.9025  3 W 2.58-2.62, 2 As 2.70
W: 0.7495 0.7495 0.7609  3 W 2.58-2.62, 3 As 2.70
La: 0.2480 0.2480 0.2602  3 As 3.08-3.17, 3 W 3.25-3.34, 2 La 3.36

***

Record 3
VASP calculation (PBE) on a relaxed structure of SrSi.

Results
Density in g/cm³: 3.23
Energy relative to the elements, uncorrected in eV per atom: 0.130
Total DFT energy (no corrections) in eV per atom: -3.423

Cell lengths 3.3735, 5.4929, 6.4223 Å; angles 90.00, 90.00, 90.00 degrees
Closest atoms and distances in Å follow each position.
Fractional positions:
Si: 0.0000 0.0000 0.1250  6 Sr 3.21-3.22, 2 Si 3.37
Si: 0.5000 0.5000 0.6250  6 Sr 3.21-3.22, 2 Si 3.37
Sr: 0.0000 0.0000 0.6250  6 Si 3.21-3.22, 2 Sr 3.37
Sr: 0.5000 0.5000 0.1250  6 Si 3.21-3.22, 2 Sr 3.37